The following is a PBE calculation of a relaxed Ti2CoH crystal, from Alexandria via LeMat-Bulk.

Summary:
- Total energy: -6.702 eV/atom

Cell and atoms, written as extended XYZ:
```
4
Lattice="2.888 0.000 0.000 1.444 2.501 0.000 1.444 0.834 6.281" Properties=species:S:1:pos:R:3 pbc="T T T"
H 2.888 1.667 3.141
Co 0.000 0.000 0.000
Ti 4.331 2.501 4.376
Ti 1.444 0.834 1.906
```

The following is a PBE calculation of a relaxed Rb2AsBr crystal, from Alexandria via LeMat-Bulk.

Summary:
- Formation energy from raw total energies: -0.576 eV per atom

Cell and atoms, written as extended XYZ:
```
4
Lattice="0.000 4.265 4.265 4.265 0.000 4.265 4.265 4.265 0.000" Properties=species:S:1:pos:R:3 pbc="T T T"
Br 4.265 4.265 4.265
As 0.000 0.000 0.000
Rb 6.397 6.397 6.397
Rb 2.132 2.132 2.132
```

M_tot in μB/f.u., matching the order above: 0.059; 2.000